This record from Alexandria via LeMat-Bulk describes an optimized crystal structure of SrRhCl3. The functional is PBE.

Cell: 4.895 4.895 4.895 Å, 90.00 90.00 90.00°
Sites, in units of the cell vectors:
1 Sr 0.500 0.500 0.500
2 Rh 0.000 0.000 0.000
3 Cl 0.000 0.500 0.000
4 Cl 0.000 0.000 0.500
5 Cl 0.500 0.000 0.000

Summary:
Total magnetic moment in μB per cell: 0.00

***

This record from Alexandria via LeMat-Bulk describes an optimized crystal structure of SrRh2Cl. The functional is PBE.

Cell: 3.190 5.009 5.440 Å, 90.00 90.00 90.00°
Site moments in Bohr magnetons follow the coordinates.
Sites, in units of the cell vectors:
1 Cl 0.500 0.500 0.750  0.04
2 Rh 0.000 0.000 0.021  0.99
3 Rh 0.000 0.000 0.479  0.99
4 Sr 0.500 0.500 0.250  -0.03

Summary:
Total magnetic moment in μB per cell: 2.03

***

This record from Alexandria via LeMat-Bulk describes an optimized crystal structure of SrTl2RhCl. The functional is PBE.

Cell: 5.226 5.226 5.831 Å, 90.00 90.00 90.00°
Sites, in units of the cell vectors:
1 Sr 0.000 0.000 0.500
2 Tl 0.000 0.500 0.000
3 Tl 0.500 0.000 0.000
4 Rh 0.000 0.000 0.000
5 Cl 0.500 0.500 0.500

Summary:
Total magnetic moment in μB per cell: 0.00

***

This record from Alexandria via LeMat-Bulk describes an optimized crystal structure of TaRhCl3. The functional is PBE.

Cell: 4.818 4.818 4.818 Å, 90.00 90.00 90.00°
Site moments in Bohr magnetons follow the coordinates.
Sites, in units of the cell vectors:
1 Cl 0.000 0.500 0.000  0.00
2 Cl 0.000 0.000 0.500  0.00
3 Cl 0.500 0.000 0.000  0.00
4 Rh 0.500 0.500 0.500  -0.08
5 Ta 0.000 0.000 0.000  0.07

Summary:
Total magnetic moment in μB per cell: 0.00

***

This record from Alexandria via LeMat-Bulk describes an optimized crystal structure of TaRhCl. The functional is PBE.

Cell: 6.482 6.483 2.996 Å, 76.62 76.63 26.72°
Sites, in units of the cell vectors:
1 Cl 0.030 0.030 0.970
2 Rh 0.299 0.299 0.701
3 Ta 0.671 0.670 0.329

Summary:
Total magnetic moment in μB per cell: 0.00

***

This record from Alexandria via LeMat-Bulk describes an optimized crystal structure of TaRhCl. The functional is PBE.

Cell: 4.308 4.308 4.308 Å, 60.00 60.00 60.00°
Sites, in units of the cell vectors:
1 Cl 0.000 0.000 0.000
2 Rh 0.500 0.500 0.500
3 Ta 0.750 0.750 0.750

Summary:
Total magnetic moment in μB per cell: 0.00

***

This record from Alexandria via LeMat-Bulk describes an optimized crystal structure of TaRh3Cl. The functional is PBE.

Cell: 4.386 4.386 4.386 Å, 90.00 90.00 90.00°
Sites, in units of the cell vectors:
1 Cl 0.000 0.000 0.000
2 Rh 0.000 0.500 0.000
3 Rh 0.000 0.000 0.500
4 Rh 0.500 0.000 0.000
5 Ta 0.500 0.500 0.500

Summary:
Total magnetic moment in μB per cell: 0.00

***

This record from Alexandria via LeMat-Bulk describes an optimized crystal structure of TaRhCl4. The functional is PBE.

Cell: 5.482 5.482 5.482 Å, 60.00 60.00 60.00°
Site moments in Bohr magnetons follow the coordinates.
Sites, in units of the cell vectors:
1 Ta 0.000 0.000 0.000  1.27
2 Rh 0.750 0.750 0.750  -0.79
3 Cl 0.875 0.375 0.375  0.09
4 Cl 0.375 0.375 0.875  0.09
5 Cl 0.375 0.875 0.375  0.09
6 Cl 0.375 0.375 0.375  0.09

Summary:
Total magnetic moment in μB per cell: 1.53

***

This record from Alexandria via LeMat-Bulk describes an optimized crystal structure of Ta3RhCl. The functional is PBE.

Cell: 4.872 4.872 4.872 Å, 90.00 90.00 90.00°
Sites, in units of the cell vectors:
1 Cl 0.500 0.500 0.500
2 Rh 0.000 0.000 0.000
3 Ta 0.000 0.500 0.000
4 Ta 0.000 0.000 0.500
5 Ta 0.500 0.000 0.000

Summary:
Total magnetic moment in μB per cell: 0.00

***

This record from Alexandria via LeMat-Bulk describes an optimized crystal structure of TaRhCl. The functional is PBE.

Cell: 4.297 4.297 2.988 Å, 90.00 90.00 120.00°
Sites, in units of the cell vectors:
1 Cl 0.000 0.000 0.833
2 Rh 0.333 0.667 0.333
3 Ta 0.667 0.333 0.833

Summary:
Total magnetic moment in μB per cell: 0.00

***

This record from Alexandria via LeMat-Bulk describes an optimized crystal structure of TaRhCl. The functional is PBE.

Cell: 4.358 4.358 4.358 Å, 60.00 60.00 60.00°
Sites, in units of the cell vectors:
1 Cl 0.500 0.500 0.500
2 Rh 0.750 0.750 0.750
3 Ta 0.000 0.000 0.000

Summary:
Total magnetic moment in μB per cell: 0.00

***

This record from Alexandria via LeMat-Bulk describes an optimized crystal structure of TaRhCl3. The functional is PBE.

Cell: 4.768 4.768 4.768 Å, 90.00 90.00 90.00°
Site moments in Bohr magnetons follow the coordinates.
Sites, in units of the cell vectors:
1 Cl 0.000 0.500 0.000  -0.03
2 Cl 0.000 0.000 0.500  0.00
3 Cl 0.500 0.000 0.000  -0.03
4 Rh 0.000 0.000 0.000  -0.11
5 Ta 0.500 0.500 0.500  2.30

Summary:
Total magnetic moment in μB per cell: 3.32

***

This record from Alexandria via LeMat-Bulk describes an optimized crystal structure of TaRh3Cl. The functional is PBE.

Cell: 4.803 4.803 4.803 Å, 90.00 90.00 90.00°
Site moments in Bohr magnetons follow the coordinates.
Sites, in units of the cell vectors:
1 Cl 0.500 0.500 0.500  0.12
2 Rh 0.000 0.500 0.000  0.34
3 Rh 0.000 0.000 0.500  0.35
4 Rh 0.500 0.000 0.000  0.17
5 Ta 0.000 0.000 0.000  -0.07

Summary:
Total magnetic moment in μB per cell: 0.98

***

This record from Alexandria via LeMat-Bulk describes an optimized crystal structure of Ta3RhCl. The functional is PBE.

Cell: 4.479 4.479 4.479 Å, 90.00 90.00 90.00°
Sites, in units of the cell vectors:
1 Cl 0.000 0.000 0.000
2 Rh 0.500 0.500 0.500
3 Ta 0.000 0.500 0.000
4 Ta 0.000 0.000 0.500
5 Ta 0.500 0.000 0.000

Summary:
Total magnetic moment in μB per cell: 0.00

***

This record from Alexandria via LeMat-Bulk describes an optimized crystal structure of TaRhCl. The functional is PBE.

Cell: 2.996 2.996 6.785 Å, 90.00 90.00 120.00°
Sites, in units of the cell vectors:
1 Cl 0.000 0.000 0.952
2 Rh 0.667 0.333 0.374
3 Ta 0.333 0.667 0.675

Summary:
Total magnetic moment in μB per cell: 0.00

***

This record from Alexandria via LeMat-Bulk describes an optimized crystal structure of TaV2RhCl. The functional is PBE.

Cell: 4.234 4.406 4.234 Å, 90.00 90.00 90.00°
Sites, in units of the cell vectors:
1 Cl 0.000 0.000 0.000
2 V 0.000 0.000 0.500
3 V 0.500 0.000 0.000
4 Rh 0.000 0.500 0.000
5 Ta 0.500 0.500 0.500

Summary:
Total magnetic moment in μB per cell: 0.00

***

This record from Alexandria via LeMat-Bulk describes an optimized crystal structure of TaV2RhCl. The functional is PBE.

Cell: 4.201 4.201 4.551 Å, 90.00 90.00 90.00°
Site moments in Bohr magnetons follow the coordinates.
Sites, in units of the cell vectors:
1 Cl 0.000 0.000 0.000  -0.02
2 V 0.000 0.500 0.000  1.05
3 V 0.500 0.000 0.000  1.05
4 Rh 0.500 0.500 0.500  0.07
5 Ta 0.000 0.000 0.500  0.08

Summary:
Total magnetic moment in μB per cell: 2.52

***

This record from Alexandria via LeMat-Bulk describes an optimized crystal structure of TaV2RhCl. The functional is PBE.

Cell: 4.790 4.790 4.717 Å, 90.00 90.00 90.00°
Sites, in units of the cell vectors:
1 Cl 0.500 0.500 0.500
2 V 0.000 0.500 0.000
3 V 0.500 0.000 0.000
4 Rh 0.000 0.000 0.500
5 Ta 0.000 0.000 0.000

Summary:
Total magnetic moment in μB per cell: 0.00

***

This record from Alexandria via LeMat-Bulk describes an optimized crystal structure of Tb2RhCl. The functional is PBE.

Cell: 4.021 4.021 7.764 Å, 89.98 89.98 60.19°
Sites, in units of the cell vectors:
1 Tb 0.533 0.533 0.142
2 Tb 0.864 0.864 0.525
3 Rh 0.198 0.198 0.326
4 Cl 0.533 0.533 0.778

Summary:
Total magnetic moment in μB per cell: 0.00

***

This record from Alexandria via LeMat-Bulk describes an optimized crystal structure of Tb2RhCl. The functional is PBE.

Cell: 3.971 3.971 7.775 Å, 75.21 75.21 60.00°
Sites, in units of the cell vectors:
1 Rh 0.000 0.000 0.000
2 Tb 0.266 0.266 0.203
3 Tb 0.734 0.734 0.797
4 Cl 0.500 0.500 0.500

Summary:
Total magnetic moment in μB per cell: 0.00

***

no.,formation energy from raw total energies (eV/atom),density (Mg/m³)
1,-1.16,4.20
2,0.15,6.28
3,-0.64,6.62
4,0.34,5.79
5,-0.26,9.64
6,0.29,9.38
7,0.85,10.33
8,1.29,6.07
9,1.28,9.78
10,0.01,11.10
11,0.58,9.06
12,0.73,5.98
13,1.08,7.87
14,0.87,12.59
15,-0.30,10.05
16,0.55,8.86
17,0.59,8.71
18,1.53,6.46
19,-1.24,6.96
20,-1.19,7.47